Entry 1:
YHf3Co PBE optimized geometry; VASP energy = -8.572 eV/atom
1.0
4.885 0.000 0.000
0.000 4.885 0.000
0.000 0.000 4.885
Hf Co Y
3 1 1
Cartesian
0.000 2.442 0.000
2.442 0.000 0.000
0.000 0.000 2.442
0.000 0.000 0.000
2.442 2.442 2.442

=====

Entry 2:
Y2HfCo PBE optimized geometry; VASP energy = -7.076 eV/atom
1.0
0.000 3.570 3.570
3.570 0.000 3.570
3.570 3.570 0.000
Y Hf Co
2 1 1
Cartesian
5.355 5.355 5.355
1.785 1.785 1.785
3.570 3.570 3.570
0.000 0.000 0.000

=====

Entry 3:
Y3HfCo8 PBE optimized geometry; VASP energy = -7.387 eV/atom
1.0
-4.052 -0.827 2.852
0.178 -3.404 3.690
1.207 4.391 7.412
Co Y Hf
8 3 1
Cartesian
-1.369 -2.675 6.129
-2.898 0.694 9.358
-1.457 -0.991 4.304
-0.819 -0.573 9.770
-1.534 1.205 11.445
-2.811 -0.980 11.171
-0.202 1.119 4.462
-3.462 -1.400 5.715
-0.393 2.264 8.947
-1.333 0.082 6.979
-3.873 -4.227 6.546
-2.940 -2.061 8.499

=====

Entry 4:
Y2Hf2Co PBE optimized geometry; VASP energy = -7.931 eV/atom
1.0
6.642 0.000 0.000
0.000 6.642 0.000
0.000 0.000 5.342
Hf Y Co
4 4 2
Cartesian
4.362 1.041 0.000
1.041 2.280 0.000
2.280 5.601 0.000
5.601 4.362 0.000
5.529 2.208 2.671
1.113 4.433 2.671
4.433 5.529 2.671
2.208 1.113 2.671
3.321 3.321 0.000
0.000 0.000 0.000

=====

Entry 5:
YHf3Co PBE optimized geometry; VASP energy = -6.613 eV/atom
1.0
-0.397 5.035 -0.258
-3.991 -0.156 3.102
3.081 0.447 3.985
Y Hf Co
1 3 1
Cartesian
0.000 0.000 0.000
-1.995 -0.078 1.551
-0.199 2.517 -0.129
1.540 0.224 1.993
-0.654 2.663 3.415

=====

Entry 6:
Y2HfCo2 PBE optimized geometry; VASP energy = -7.650 eV/atom
1.0
3.541 0.003 1.506
1.045 5.124 2.445
-0.345 0.666 5.725
Hf Y Co
1 2 2
Cartesian
2.293 2.564 1.976
3.216 4.293 4.718
1.025 1.500 4.957
3.654 1.251 3.695
0.587 4.542 5.981

=====

Entry 7:
YHfCo2 PBE optimized geometry; VASP energy = -7.463 eV/atom
1.0
6.939 0.000 0.000
0.000 6.939 0.000
3.469 3.469 3.029
Y Co Hf
2 4 2
Cartesian
3.469 3.469 0.000
3.469 6.939 1.514
8.674 8.829 2.272
5.204 5.049 2.272
5.360 1.735 0.757
1.579 5.204 0.757
0.000 0.000 0.000
6.939 3.469 1.514

=====

Entry 8:
Y2HfCo PBE optimized geometry; VASP energy = -7.180 eV/atom
1.0
8.105 0.000 0.000
0.000 8.105 0.000
4.053 4.053 2.916
Y Hf Co
4 2 2
Cartesian
6.079 6.654 2.187
10.131 9.556 2.187
5.504 2.026 0.729
2.602 6.079 0.729
0.000 0.000 0.000
8.105 4.053 1.458
4.053 8.105 1.458
4.053 4.053 0.000

=====

Entry 9:
YHf2Co3 PBE optimized geometry; VASP energy = -8.276 eV/atom
1.0
-1.515 2.103 -1.840
-1.721 -2.352 -1.269
-6.850 1.218 7.032
Hf Co Y
2 3 1
Cartesian
-2.718 0.071 -0.426
-7.369 0.898 4.349
0.000 0.000 0.000
-4.788 0.852 4.915
-2.062 0.367 2.117
-5.043 0.485 1.961

=====

Entry 10:
Y3HfCo PBE optimized geometry; VASP energy = -7.010 eV/atom
1.0
5.179 0.000 0.000
0.000 5.179 0.000
0.000 0.000 5.179
Y Co Hf
3 1 1
Cartesian
0.000 0.000 2.590
2.590 0.000 0.000
0.000 2.590 0.000
0.000 0.000 0.000
2.590 2.590 2.590

=====

Entry 11:
YHfCo PBE optimized geometry; VASP energy = -7.935 eV/atom
1.0
3.273 0.000 0.000
0.000 3.273 0.000
-1.636 -1.636 5.860
Hf Y Co
1 1 1
Cartesian
0.000 0.000 3.405
0.000 0.000 0.235
1.636 1.636 2.220

=====

Entry 12:
YHf4Co5 PBE optimized geometry; VASP energy = -8.536 eV/atom
1.0
3.172 0.000 0.000
0.000 3.172 0.000
0.000 0.000 16.154
Co Hf Y
5 4 1
Cartesian
1.586 1.586 5.026
1.586 1.586 8.077
1.586 1.586 2.006
1.586 1.586 14.148
1.586 1.586 11.128
0.000 0.000 3.356
0.000 0.000 12.798
0.000 0.000 9.641
3.172 0.000 6.512
0.000 0.000 0.000

=====

Entry 13:
Y2HfCo2 PBE optimized geometry; VASP energy = -7.152 eV/atom
1.0
7.982 0.000 0.000
0.000 7.982 0.000
0.000 0.000 3.052
Y Co Hf
4 4 2
Cartesian
2.897 6.888 0.000
5.085 1.094 0.000
1.094 2.897 0.000
6.888 5.085 0.000
2.633 1.358 1.526
6.624 2.633 1.526
1.358 5.348 1.526
5.348 6.624 1.526
3.991 3.991 0.000
0.000 0.000 0.000

=====

Entry 14:
YHfCo2 PBE optimized geometry; VASP energy = -7.934 eV/atom
1.0
-1.974 -2.519 0.305
0.784 -0.972 -2.962
4.972 -3.594 2.496
Co Hf Y
2 1 1
Cartesian
1.082 -0.782 0.543
3.889 -2.812 1.953
-0.595 -1.746 -1.329
1.891 -3.543 -0.080

=====

Entry 15:
YHfCo10 PBE optimized geometry; VASP energy = -7.403 eV/atom
1.0
3.960 0.000 0.000
0.000 4.824 0.000
0.000 0.000 8.375
Co Hf Y
10 1 1
Cartesian
0.000 0.000 2.876
1.980 2.412 0.000
1.980 3.599 6.227
1.980 0.000 4.188
1.980 1.225 2.148
1.980 3.599 2.148
1.980 1.225 6.227
0.000 2.412 1.512
0.000 2.412 6.863
0.000 0.000 5.499
0.000 2.412 4.188
0.000 0.000 0.000

=====

Entry 16:
YHfZnCo PBE optimized geometry; VASP energy = -6.350 eV/atom
1.0
4.727 0.000 0.000
2.364 4.094 0.000
2.364 1.365 3.860
Hf Zn Co Y
1 1 1 1
Cartesian
4.727 2.729 1.930
7.091 4.094 2.895
2.364 1.365 0.965
0.000 0.000 0.000

=====

Entry 17:
HfZnCo PBE optimized geometry; VASP energy = -6.295 eV/atom
1.0
-1.647 -2.457 -0.597
3.482 -2.350 0.072
-2.194 0.613 3.530
Co Zn Hf
1 1 1
Cartesian
-0.576 -0.783 2.278
-0.275 -0.410 -0.100
0.491 -3.002 0.827

=====

Entry 18:
HfZnCo2 PBE optimized geometry; VASP energy = -6.632 eV/atom
1.0
-2.535 -1.711 -0.493
1.132 -0.886 -2.744
2.533 -4.470 2.488
Co Zn Hf
2 1 1
Cartesian
1.863 -3.287 1.830
0.670 -1.182 0.658
0.565 -3.533 -0.375
-0.702 -1.299 -1.619

=====

Entry 19:
Hf8Zn2Co3 PBE optimized geometry; VASP energy = -7.995 eV/atom
1.0
5.336 0.000 0.592
0.000 6.187 0.000
-1.611 -3.093 7.342
Zn Co Hf
2 3 8
Cartesian
3.162 3.093 3.715
0.562 0.000 4.219
2.668 0.000 0.296
0.000 1.082 0.000
0.000 5.105 0.000
-0.161 3.093 5.110
-0.224 0.000 6.720
2.423 1.543 5.841
2.423 -1.543 5.841
3.949 3.093 1.214
1.302 1.551 2.093
1.302 4.636 2.093
3.886 0.000 2.824

=====

Entry 20:
Hf4ZnCo PBE optimized geometry; VASP energy = -8.239 eV/atom
1.0
-0.061 -4.079 3.415
5.302 -2.486 -2.874
3.800 3.370 4.093
Hf Co Zn
8 2 2
Cartesian
2.241 -1.295 2.638
6.567 1.162 1.506
4.080 -3.057 0.566
3.401 1.747 2.148
2.534 -0.278 -0.286
4.960 -0.138 4.068
5.700 -0.863 -0.928
6.799 -1.901 1.997
4.535 -0.578 1.463
4.504 -2.618 3.171
-0.046 -3.059 2.562
-0.015 -1.020 0.854